# La3Zn6Ga5

A relaxed structure of La3Zn6Ga5 (PBE, Alexandria).

Properties
total magnetization	0.00	μB per atom
raw total energy	-88.0	eV per cell

a = 4.426 Å, b = 13.151 Å, c = 9.716 Å
α = 90.00°, β = 90.00°, γ = 90.00°
Space group Pmmn (No. 59, origin choice 2)
One atom of each set of equivalent atoms:
La  0.250  0.061  0.248 (multiplicity 4)
La  0.250  0.750  0.248 (multiplicity 2)
Zn  0.250  0.087  0.613 (multiplicity 4)
Zn  0.250  0.250  0.035 (multiplicity 2)
Zn  0.250  0.250  0.464 (multiplicity 2)
Zn  0.250  0.599  0.982 (multiplicity 4)
Ga  0.250  0.091  0.877 (multiplicity 4)
Ga  0.250  0.610  0.526 (multiplicity 4)
Ga  0.250  0.750  0.771 (multiplicity 2)

***

# TaCd2N

A relaxed structure of TaCd2N (PBE, Alexandria).

Properties
total magnetization	0.00	μB per atom
ΔE_f (raw)	0.48	eV/atom

a = 8.854 Å, b = 8.854 Å, c = 4.036 Å
α = 90.00°, β = 90.00°, γ = 90.00°
Space group I-42d (No. 122)
One atom of each set of equivalent atoms:
Ta  0.000  0.000  0.000 (multiplicity 4)
Cd  0.139  0.250  0.625 (multiplicity 8)
N  0.000  0.000  0.500 (multiplicity 4)

***

# NdYAlPd

A relaxed structure of NdYAlPd (PBE, Alexandria).

Properties
excess energy over the best structure of this formula in the dataset	0.0	meV/atom
total magnetization	0.00	μB per atom

a = 4.423 Å, b = 3.928 Å, c = 11.430 Å
α = 90.00°, β = 90.00°, γ = 90.00°
Space group Amm2 (No. 38)
One atom of each set of equivalent atoms:
Nd  0.000  0.000  0.000 (multiplicity 2)
Y  0.500  0.000  0.707 (multiplicity 2)
Al  0.500  0.000  0.415 (multiplicity 2)
Pd  0.000  0.000  0.277 (multiplicity 2)

***

# MnMo2Os

A relaxed structure of MnMo2Os (PBE, Alexandria).

Properties
excess energy over the best structure of this formula in the dataset	134.6	meV/atom
total magnetization	0.32	μB per atom

a = 3.145 Å, b = 4.364 Å, c = 8.482 Å
α = 90.00°, β = 90.00°, γ = 90.00°
Space group Cmmm (No. 65)
One atom of each set of equivalent atoms:
Mn  0.000  0.000  0.000 (multiplicity 2)
Mo  0.000  0.500  0.239 (multiplicity 4)
Os  0.000  0.000  0.500 (multiplicity 2)

***

# BaAg2AsO4

A relaxed structure of BaAg2AsO4 (PBE, Alexandria).

Properties
total magnetization	0.00	μB per atom
ΔE_f (raw)	-1.17	eV/atom

a = 6.175 Å, b = 6.315 Å, c = 7.087 Å
α = 90.00°, β = 90.00°, γ = 90.00°
Space group I222 (No. 23)
One atom of each set of equivalent atoms:
Ba  0.000  0.000  0.000 (multiplicity 2)
Ag  0.000  0.500  0.287 (multiplicity 4)
As  0.000  0.000  0.500 (multiplicity 2)
O  0.165  0.157  0.649 (multiplicity 8)